# 1
Tb3PrDy5: optimized geometry, PBE-GGA. Values from VASP.

The structure in Quantum ESPRESSO input format:
```
&SYSTEM
  ibrav = 0, nat = 18, ntyp = 3
/
ATOMIC_SPECIES
Tb 158.93 Tb.upf
Pr 140.91 Pr.upf
Dy 162.50 Dy.upf
ATOMIC_POSITIONS crystal
Tb 0.0000 0.0000 0.0000
Tb 0.1183 0.1183 0.8132
Tb 0.3251 0.3251 0.1577
Tb 0.5000 0.5000 0.5000
Tb 0.6749 0.6749 0.8423
Tb 0.8817 0.8817 0.1868
Pr 0.2628 0.2628 0.3689
Pr 0.7372 0.7372 0.6311
Dy 0.1802 0.8198 0.5000
Dy 0.2000 0.2000 0.5702
Dy 0.2314 0.6406 0.7202
Dy 0.3594 0.7686 0.2798
Dy 0.3757 0.3757 0.9328
Dy 0.6243 0.6243 0.0672
Dy 0.6406 0.2314 0.7202
Dy 0.7686 0.3594 0.2798
Dy 0.8000 0.8000 0.4298
Dy 0.8198 0.1802 0.5000
CELL_PARAMETERS angstrom
8.4227 -4.0058 0.0000
8.4227 4.0058 0.0000
-8.0370 0.0000 9.2971
```

Summary:
Energy relative to the lowest polymorph listed for this composition, meV per atom: 79
Density, g/cm3: 7.571
Energy, Ry/atom: -0.310


# 2
TbPr4Dy10: optimized geometry, PBE-GGA. Values from VASP.

The structure in Quantum ESPRESSO input format:
```
&SYSTEM
  ibrav = 0, nat = 15, ntyp = 3
/
ATOMIC_SPECIES
Tb 158.93 Tb.upf
Pr 140.91 Pr.upf
Dy 162.50 Dy.upf
ATOMIC_POSITIONS crystal
Tb 0.0000 0.0000 0.0000
Pr 0.2274 0.2274 0.4549
Pr 0.2274 0.7726 0.0000
Pr 0.7726 0.2274 0.0000
Pr 0.7726 0.7726 0.5451
Dy 0.0857 0.2937 0.7920
Dy 0.2500 0.7500 0.5000
Dy 0.2937 0.0857 0.7920
Dy 0.2937 0.5017 0.2080
Dy 0.4983 0.7063 0.7920
Dy 0.5017 0.2937 0.2080
Dy 0.7063 0.4983 0.7920
Dy 0.7063 0.9143 0.2080
Dy 0.7500 0.2500 0.5000
Dy 0.9143 0.7063 0.2080
CELL_PARAMETERS angstrom
-5.6626 5.6626 3.9992
5.6626 -5.6626 3.9992
5.6626 5.6626 -3.9992
```

Summary:
Density, g/cm3: 7.600
Energy, Ry/atom: -0.322


# 3
Tb7PrDy5: optimized geometry, PBE-GGA. Values from VASP.

The structure in Quantum ESPRESSO input format:
```
&SYSTEM
  ibrav = 0, nat = 13, ntyp = 3
/
ATOMIC_SPECIES
Tb 158.93 Tb.upf
Pr 140.91 Pr.upf
Dy 162.50 Dy.upf
ATOMIC_POSITIONS crystal
Tb 0.0000 0.0000 0.0000
Tb 0.0775 0.7473 0.3303
Tb 0.3046 0.3046 0.0000
Tb 0.4170 0.7473 0.6697
Tb 0.5776 0.2476 0.3300
Tb 0.9176 0.2476 0.6700
Tb 0.9987 0.4987 0.5000
Pr 0.6969 0.6969 0.0000
Dy 0.2667 0.2623 0.5353
Dy 0.2667 0.7313 0.0043
Dy 0.4945 0.9945 0.5000
Dy 0.7270 0.2623 0.9957
Dy 0.7270 0.7313 0.4647
CELL_PARAMETERS angstrom
-3.3407 5.5782 5.8038
3.3407 -5.5782 5.8038
3.3407 5.5782 -5.8038
```

Summary:
Density, g/cm3: 7.930
Energy, Ry/atom: -0.323


- Which of these has the lowest energy?
  Tb7PrDy5


- What is the formula in the third record?
  Tb7PrDy5